DFT (PBE) results for a relaxed structure of ScSiTc3.

Properties
E_tot = -8.180 eV per atom
relative energy among the computed polymorphs = 0.0000 eV per atom
calculated volume = 17.7 Å³/atom
formation energy (no corrections) = 390.3 meV per atom
magnetization = 1.59 μB per formula unit

Geometry as CIF:
```
data_ScSiTc3
_cell_length_a 4.457
_cell_length_b 4.457
_cell_length_c 4.457
_cell_angle_alpha 90.00
_cell_angle_beta 90.00
_cell_angle_gamma 90.00
_space_group_name_H-M_alt 'P m -3 m'
_space_group_IT_number 221
_space_group_name_Hall '-P 4 2 3'
loop_
_atom_site_label
_atom_site_fract_x
_atom_site_fract_y
_atom_site_fract_z
Sc1 0.000 0.000 0.000
Si1 0.500 0.500 0.500
Tc1 0.000 0.500 0.500
```

DFT (PBE) results for a relaxed structure of ScSiTc2.

Properties
E_tot = -8.357 eV per atom
calculated volume = 15.4 Å³/atom
formation energy (no corrections) = -235.7 meV per atom
magnetization = 0.00 μB per formula unit

Geometry as CIF:
```
data_ScSiTc2
_cell_length_a 2.949
_cell_length_b 3.934
_cell_length_c 5.305
_cell_angle_alpha 90.00
_cell_angle_beta 90.00
_cell_angle_gamma 90.00
_space_group_name_H-M_alt 'P m m 2'
_space_group_IT_number 25
loop_
_space_group_symop_operation_xyz
'x,y,z'
'-x,-y,z'
'-x,y,z'
'x,-y,z'
loop_
_atom_site_label
_atom_site_fract_x
_atom_site_fract_y
_atom_site_fract_z
Sc1 0.000 0.000 0.000
Si1 0.500 0.500 0.258
Tc1 0.000 0.000 0.500
Tc2 0.500 0.500 0.732
```

DFT (PBE) results for a relaxed structure of ScSiTc2.

Properties
E_tot = -8.273 eV per atom
calculated volume = 15.5 Å³/atom
formation energy (no corrections) = -151.8 meV per atom
magnetization = 0.00 μB per formula unit

Geometry as CIF:
```
data_ScSiTc2
_cell_length_a 3.207
_cell_length_b 4.754
_cell_length_c 8.114
_cell_angle_alpha 90.00
_cell_angle_beta 90.00
_cell_angle_gamma 90.00
_space_group_name_H-M_alt 'C m m m'
_space_group_IT_number 65
_space_group_name_Hall '-C 2 2'
loop_
_atom_site_label
_atom_site_fract_x
_atom_site_fract_y
_atom_site_fract_z
Sc1 0.000 0.000 0.000
Si1 0.000 0.000 0.500
Tc1 0.000 0.500 0.277
```

DFT (PBE) results for a relaxed structure of ScSiTc2.

Properties
E_tot = -8.421 eV per atom
calculated volume = 15.7 Å³/atom
formation energy (no corrections) = -299.7 meV per atom
magnetization = 0.00 μB per formula unit

Geometry as CIF:
```
data_ScSiTc2
_cell_length_a 2.977
_cell_length_b 2.977
_cell_length_c 7.096
_cell_angle_alpha 90.00
_cell_angle_beta 90.00
_cell_angle_gamma 90.00
_space_group_name_H-M_alt 'P 4 m m'
_space_group_IT_number 99
loop_
_space_group_symop_operation_xyz
'x,y,z'
'-y,x,z'
'-x,-y,z'
'y,-x,z'
'-x,y,z'
'y,x,z'
'x,-y,z'
'-y,-x,z'
loop_
_atom_site_label
_atom_site_fract_x
_atom_site_fract_y
_atom_site_fract_z
Sc1 0.000 0.000 0.000
Si1 0.500 0.500 0.288
Tc1 0.000 0.000 0.484
Tc2 0.500 0.500 0.714
```

DFT (PBE) results for a relaxed structure of ScSi3Tc2.

Properties
E_tot = -7.714 eV per atom
calculated volume = 15.5 Å³/atom
formation energy (no corrections) = -491.8 meV per atom
magnetization = 0.00 μB per formula unit

Geometry as CIF:
```
data_ScSi3Tc2
_cell_length_a 5.699
_cell_length_b 5.911
_cell_length_c 5.726
_cell_angle_alpha 90.00
_cell_angle_beta 104.88
_cell_angle_gamma 90.00
_space_group_name_H-M_alt 'P 1 21/m 1'
_space_group_IT_number 11
loop_
_space_group_symop_operation_xyz
'x,y,z'
'-x,-y,-z'
'-x,y+1/2,-z'
'x,-y+1/2,z'
loop_
_atom_site_label
_atom_site_fract_x
_atom_site_fract_y
_atom_site_fract_z
Sc1 0.143 0.250 0.137
Si1 0.058 0.750 0.366
Si2 0.352 0.750 0.067
Si3 0.482 0.750 0.486
Tc1 0.289 0.000 0.727
```

DFT (PBE) results for a relaxed structure of ScSiTc2.

Properties
E_tot = -8.228 eV per atom
calculated volume = 15.4 Å³/atom
formation energy (no corrections) = -105.9 meV per atom
magnetization = 0.00 μB per formula unit

Geometry as CIF:
```
data_ScSiTc2
_cell_length_a 3.822
_cell_length_b 3.822
_cell_length_c 8.459
_cell_angle_alpha 90.00
_cell_angle_beta 90.00
_cell_angle_gamma 90.00
_space_group_name_H-M_alt 'I 4/m m m'
_space_group_IT_number 139
_space_group_name_Hall '-I 4 2'
loop_
_atom_site_label
_atom_site_fract_x
_atom_site_fract_y
_atom_site_fract_z
Sc1 0.000 0.000 0.000
Si1 0.000 0.000 0.500
Tc1 0.000 0.500 0.250
```

DFT (PBE) results for a relaxed structure of ScSiTc2.

Properties
E_tot = -8.295 eV per atom
calculated volume = 15.5 Å³/atom
formation energy (no corrections) = -173.8 meV per atom
magnetization = 0.00 μB per formula unit

Geometry as CIF:
```
data_ScSiTc2
_cell_length_a 2.868
_cell_length_b 4.259
_cell_length_c 5.082
_cell_angle_alpha 90.00
_cell_angle_beta 94.11
_cell_angle_gamma 90.00
_space_group_name_H-M_alt 'P 1 2/m 1'
_space_group_IT_number 10
loop_
_space_group_symop_operation_xyz
'x,y,z'
'-x,-y,-z'
'-x,y,-z'
'x,-y,z'
loop_
_atom_site_label
_atom_site_fract_x
_atom_site_fract_y
_atom_site_fract_z
Sc1 0.000 0.000 0.000
Si1 0.500 0.000 0.500
Tc1 0.316 0.500 0.742
```

DFT (PBE) results for a relaxed structure of ScSiTc2.

Properties
E_tot = -8.227 eV per atom
calculated volume = 15.8 Å³/atom
formation energy (no corrections) = -105.0 meV per atom
magnetization = 0.00 μB per formula unit

Geometry as CIF:
```
data_ScSiTc2
_cell_length_a 3.0610
_cell_length_b 3.0610
_cell_length_c 23.4293
_cell_angle_alpha 90.00
_cell_angle_beta 90.00
_cell_angle_gamma 120.00
_space_group_name_H-M_alt 'R -3 m'
_space_group_IT_number 166
_space_group_name_Hall '-R 3 2"'
loop_
_atom_site_label
_atom_site_fract_x
_atom_site_fract_y
_atom_site_fract_z
Sc1 0.0000 0.0000 0.0000
Si1 0.0000 0.0000 0.5000
Tc1 0.0000 0.0000 0.2398
```

DFT (PBE) results for a relaxed structure of Sc2SiTc.

Properties
E_tot = -7.261 eV per atom
calculated volume = 19.8 Å³/atom
formation energy (no corrections) = -147.8 meV per atom
magnetization = 0.03 μB per formula unit

Geometry as CIF:
```
data_Sc2SiTc
_cell_length_a 3.3315
_cell_length_b 3.3315
_cell_length_c 24.6857
_cell_angle_alpha 90.00
_cell_angle_beta 90.00
_cell_angle_gamma 120.00
_space_group_name_H-M_alt 'R 3 m'
_space_group_IT_number 160
_space_group_name_Hall 'R 3 -2"'
loop_
_atom_site_label
_atom_site_fract_x
_atom_site_fract_y
_atom_site_fract_z
Sc1 0.0000 0.0000 0.0000
Sc2 0.0000 0.0000 0.2153
Si1 0.0000 0.0000 0.4726
Tc1 0.0000 0.0000 0.7495
```

DFT (PBE) results for a relaxed structure of Sc4SiTc.

Properties
E_tot = -6.386 eV per atom
calculated volume = 19.3 Å³/atom
formation energy (no corrections) = 466.9 meV per atom
magnetization = 0.00 μB per formula unit

Geometry as CIF:
```
data_Sc4SiTc
_cell_length_a 7.736
_cell_length_b 7.736
_cell_length_c 7.736
_cell_angle_alpha 90.00
_cell_angle_beta 90.00
_cell_angle_gamma 90.00
_space_group_name_H-M_alt 'F -4 3 m'
_space_group_IT_number 216
_space_group_name_Hall 'F -4 2 3'
loop_
_atom_site_label
_atom_site_fract_x
_atom_site_fract_y
_atom_site_fract_z
Sc1 0.123 0.123 0.377
Si1 0.000 0.000 0.000
Tc1 0.250 0.250 0.750
```

DFT (PBE) results for a relaxed structure of ScSiTc2.

Properties
E_tot = -8.332 eV per atom
calculated volume = 15.2 Å³/atom
formation energy (no corrections) = -210.2 meV per atom
magnetization = 0.00 μB per formula unit

Geometry as CIF:
```
data_ScSiTc2
_cell_length_a 3.259
_cell_length_b 4.114
_cell_length_c 4.520
_cell_angle_alpha 90.00
_cell_angle_beta 90.00
_cell_angle_gamma 90.00
_space_group_name_H-M_alt 'P m m m'
_space_group_IT_number 47
loop_
_space_group_symop_operation_xyz
'x,y,z'
'-x,-y,-z'
'-x,-y,z'
'x,y,-z'
'x,-y,-z'
'-x,y,z'
'-x,y,-z'
'x,-y,z'
loop_
_atom_site_label
_atom_site_fract_x
_atom_site_fract_y
_atom_site_fract_z
Sc1 0.000 0.000 0.000
Si1 0.500 0.000 0.500
Tc1 0.000 0.500 0.500
Tc2 0.500 0.500 0.000
```

DFT (PBE) results for a relaxed structure of Sc2SiTc.

Properties
E_tot = -7.584 eV per atom
calculated volume = 18.4 Å³/atom
formation energy (no corrections) = -470.9 meV per atom
magnetization = 0.00 μB per formula unit

Geometry as CIF:
```
data_Sc2SiTc
_cell_length_a 4.167
_cell_length_b 3.497
_cell_length_c 10.126
_cell_angle_alpha 90.00
_cell_angle_beta 90.00
_cell_angle_gamma 90.00
_space_group_name_H-M_alt 'A m m 2'
_space_group_IT_number 38
loop_
_space_group_symop_operation_xyz
'x,y,z'
'-x,-y,z'
'-x,y,z'
'x,-y,z'
'x,y+1/2,z+1/2'
'-x,-y+1/2,z+1/2'
'-x,y+1/2,z+1/2'
'x,-y+1/2,z+1/2'
loop_
_atom_site_label
_atom_site_fract_x
_atom_site_fract_y
_atom_site_fract_z
Sc1 0.000 0.000 0.000
Sc2 0.500 0.000 0.297
Si1 0.500 0.000 0.584
Tc1 0.000 0.000 0.717
```